ZrCrCo2 | GGA-PBE | relaxed

a b c (Å): 4.2192 4.2192 3.1619
angles (deg): 90.00 90.00 90.00
With the nearest neighbours (Å) after each atom.
Fractional coordinates of all 4 atoms:
Zr 0.0000 0.0000 0.0000  8 Co 2.64
Cr 0.5000 0.5000 0.0000  8 Co 2.64
Co 0.0000 0.5000 0.5000  4 Cr 2.64, 4 Zr 2.64
Co 0.5000 0.0000 0.5000  4 Cr 2.64, 4 Zr 2.64

Properties
Energy relative to the elements, meV/atom: -41
Energy above the most stable polymorph in this dataset, kJ/mol of formula units: 0.0
Space group: No. 123

***

Zr2CrCo | GGA-PBE | relaxed

a b c (Å): 3.7733 3.7733 9.5957
angles (deg): 90.00 90.00 90.00
With the nearest neighbours (Å) after each atom.
Fractional coordinates of all 8 atoms:
Zr 0.0000 0.0000 0.0000  4 Cr 2.67
Zr 0.0000 0.5000 0.2500  4 Co 2.67
Zr 0.5000 0.0000 0.7500  4 Co 2.67
Zr 0.5000 0.5000 0.5000  4 Cr 2.67
Cr 0.0000 0.0000 0.5000  4 Zr 2.67
Cr 0.5000 0.5000 0.0000  4 Zr 2.67
Co 0.0000 0.5000 0.7500  4 Zr 2.67
Co 0.5000 0.0000 0.2500  4 Zr 2.67

Properties
Energy relative to the elements, meV/atom: 144
Energy above the most stable polymorph in this dataset, kJ/mol of formula units: 82.9
Space group: No. 119

***

ZrCrCo2 | GGA-PBE | relaxed

a b c (Å): 6.0882 6.0882 6.0882
angles (deg): 90.00 90.00 90.00
With the nearest neighbours (Å) after each atom.
Fractional coordinates of all 16 atoms:
Zr 0.0000 0.0000 0.0000  8 Co 2.64
Zr 0.0000 0.5000 0.5000  8 Co 2.64
Zr 0.5000 0.0000 0.5000  8 Co 2.64
Zr 0.5000 0.5000 0.0000  8 Co 2.64
Cr 0.0000 0.0000 0.5000  8 Co 2.64
Cr 0.0000 0.5000 0.0000  8 Co 2.64
Cr 0.5000 0.0000 0.0000  8 Co 2.64
Cr 0.5000 0.5000 0.5000  8 Co 2.64
Co 0.2500 0.2500 0.2500  4 Cr 2.64, 4 Zr 2.64
Co 0.2500 0.2500 0.7500  4 Cr 2.64, 4 Zr 2.64
Co 0.2500 0.7500 0.2500  4 Cr 2.64, 4 Zr 2.64
Co 0.2500 0.7500 0.7500  4 Cr 2.64, 4 Zr 2.64
Co 0.7500 0.2500 0.2500  4 Cr 2.64, 4 Zr 2.64
Co 0.7500 0.2500 0.7500  4 Cr 2.64, 4 Zr 2.64
Co 0.7500 0.7500 0.2500  4 Cr 2.64, 4 Zr 2.64
Co 0.7500 0.7500 0.7500  4 Cr 2.64, 4 Zr 2.64

Properties
Energy relative to the elements, meV/atom: -41
Energy above the most stable polymorph in this dataset, kJ/mol of formula units: 0.2
Space group: No. 225

***

ZrCrCo2 | GGA-PBE | relaxed

a b c (Å): 3.8420 3.8420 16.8757
angles (deg): 90.00 90.00 90.00
With the nearest neighbours (Å) after each atom.
Fractional coordinates of all 16 atoms:
Zr 0.0000 0.0000 0.0000  4 Co 2.64, 4 Cr 2.72
Zr 0.0000 0.5000 0.2500  4 Co 2.64, 4 Cr 2.72
Zr 0.5000 0.0000 0.7500  4 Co 2.64, 4 Cr 2.72
Zr 0.5000 0.5000 0.5000  4 Co 2.64, 4 Cr 2.72
Cr 0.0000 0.0000 0.5000  4 Co 2.41
Cr 0.0000 0.5000 0.7500  4 Co 2.41
Cr 0.5000 0.0000 0.2500  4 Co 2.41
Cr 0.5000 0.5000 0.0000  4 Co 2.41
Co 0.1720 0.2500 0.6250  2 Co 2.33, 2 Cr 2.41
Co 0.2500 0.6720 0.8750  2 Co 2.33, 2 Cr 2.41
Co 0.2500 0.8280 0.3750  2 Co 2.33, 2 Cr 2.41
Co 0.3280 0.2500 0.1250  2 Co 2.33, 2 Cr 2.41
Co 0.6720 0.7500 0.1250  2 Co 2.33, 2 Cr 2.41
Co 0.7500 0.1720 0.3750  2 Co 2.33, 2 Cr 2.41
Co 0.7500 0.3280 0.8750  2 Co 2.33, 2 Cr 2.41
Co 0.8280 0.7500 0.6250  2 Co 2.33, 2 Cr 2.41

Properties
Energy relative to the elements, meV/atom: 568
Energy above the most stable polymorph in this dataset, kJ/mol of formula units: 235.2
Space group: No. 122

***

ZrCr2Co | GGA-PBE | relaxed

a b c (Å): 3.5326 3.5326 4.5022
angles (deg): 90.00 90.00 90.00
With the nearest neighbours (Å) after each atom.
Fractional coordinates of all 4 atoms:
Zr 0.0000 0.0000 0.0000  4 Co 2.50
Cr 0.0000 0.5000 0.5000  4 Cr 2.50
Cr 0.5000 0.0000 0.5000  4 Cr 2.50
Co 0.5000 0.5000 0.0000  4 Zr 2.50

Properties
Energy relative to the elements, meV/atom: 236
Space group: No. 123

***

Zr2CrCo | GGA-PBE | relaxed

a b c (Å): 7.1254 7.1254 5.7679
angles (deg): 90.00 90.00 90.00
With the nearest neighbours (Å) after each atom.
Fractional coordinates of all 16 atoms:
Zr 0.2180 0.2500 0.1250  2 Co 2.47
Zr 0.2500 0.7180 0.3750  2 Co 2.47
Zr 0.2500 0.7820 0.8750  2 Co 2.47
Zr 0.2820 0.2500 0.6250  2 Co 2.47
Zr 0.7180 0.7500 0.6250  2 Co 2.47
Zr 0.7500 0.2180 0.8750  2 Co 2.47
Zr 0.7500 0.2820 0.3750  2 Co 2.47
Zr 0.7820 0.7500 0.1250  2 Co 2.47
Cr 0.0000 0.0000 0.5000  4 Zr 2.78, 2 Co 2.88
Cr 0.0000 0.5000 0.7500  4 Zr 2.78, 2 Co 2.88
Cr 0.5000 0.0000 0.2500  4 Zr 2.78, 2 Co 2.88
Cr 0.5000 0.5000 0.0000  4 Zr 2.78, 2 Co 2.88
Co 0.0000 0.0000 0.0000  4 Zr 2.47
Co 0.0000 0.5000 0.2500  4 Zr 2.47
Co 0.5000 0.0000 0.7500  4 Zr 2.47
Co 0.5000 0.5000 0.5000  4 Zr 2.47

Properties
Energy relative to the elements, meV/atom: 379
Energy above the most stable polymorph in this dataset, kJ/mol of formula units: 173.8
Space group: No. 122

***

Zr3CrCo | GGA-PBE | relaxed

a b c (Å): 4.8262 4.8262 4.8262
angles (deg): 90.00 90.00 90.00
With the nearest neighbours (Å) after each atom.
Fractional coordinates of all 5 atoms:
Zr 0.0000 0.0000 0.5000  2 Co 2.41
Zr 0.0000 0.5000 0.0000  2 Co 2.41
Zr 0.5000 0.0000 0.0000  2 Co 2.41
Cr 0.5000 0.5000 0.5000  12 Zr 3.41
Co 0.0000 0.0000 0.0000  6 Zr 2.41

Properties
Energy relative to the elements, meV/atom: 456
Energy above the most stable polymorph in this dataset, kJ/mol of formula units: 0.0
Space group: No. 221

***

Zr2CrCo | GGA-PBE | relaxed

a b c (Å): 3.1846 3.1846 24.3445
angles (deg): 90.00 90.00 120.00
With the nearest neighbours (Å) after each atom.
Fractional coordinates of all 12 atoms:
Zr 0.0000 0.0000 0.2435  3 Co 2.62, 3 Cr 2.86
Zr 0.0000 0.0000 0.7565  3 Co 2.62, 3 Cr 2.86
Zr 0.3333 0.6667 0.4232  3 Co 2.62, 3 Cr 2.86
Zr 0.3333 0.6667 0.9101  3 Co 2.62, 3 Cr 2.86
Zr 0.6667 0.3333 0.0899  3 Co 2.62, 3 Cr 2.86
Zr 0.6667 0.3333 0.5768  3 Co 2.62, 3 Cr 2.86
Cr 0.0000 0.0000 0.0000  6 Zr 2.86, 6 Cr 3.18
Cr 0.3333 0.6667 0.6667  6 Zr 2.86, 6 Cr 3.18
Cr 0.6667 0.3333 0.3333  6 Zr 2.86, 6 Cr 3.18
Co 0.0000 0.0000 0.5000  6 Zr 2.62
Co 0.3333 0.6667 0.1667  6 Zr 2.62
Co 0.6667 0.3333 0.8333  6 Zr 2.62

Properties
Energy relative to the elements, meV/atom: 291
Energy above the most stable polymorph in this dataset, kJ/mol of formula units: 139.8
Space group: No. 166

***

Zr2CrCo | GGA-PBE | relaxed

a b c (Å): 6.4224 6.4224 6.4224
angles (deg): 90.00 90.00 90.00
With the nearest neighbours (Å) after each atom.
Fractional coordinates of all 16 atoms:
Zr 0.2500 0.2500 0.2500  4 Cr 2.78, 4 Co 2.78
Zr 0.2500 0.2500 0.7500  4 Cr 2.78, 4 Co 2.78
Zr 0.2500 0.7500 0.2500  4 Cr 2.78, 4 Co 2.78
Zr 0.2500 0.7500 0.7500  4 Cr 2.78, 4 Co 2.78
Zr 0.7500 0.2500 0.2500  4 Cr 2.78, 4 Co 2.78
Zr 0.7500 0.2500 0.7500  4 Cr 2.78, 4 Co 2.78
Zr 0.7500 0.7500 0.2500  4 Cr 2.78, 4 Co 2.78
Zr 0.7500 0.7500 0.7500  4 Cr 2.78, 4 Co 2.78
Cr 0.0000 0.0000 0.0000  8 Zr 2.78
Cr 0.0000 0.5000 0.5000  8 Zr 2.78
Cr 0.5000 0.0000 0.5000  8 Zr 2.78
Cr 0.5000 0.5000 0.0000  8 Zr 2.78
Co 0.0000 0.0000 0.5000  8 Zr 2.78
Co 0.0000 0.5000 0.0000  8 Zr 2.78
Co 0.5000 0.0000 0.0000  8 Zr 2.78
Co 0.5000 0.5000 0.5000  8 Zr 2.78

Properties
Energy relative to the elements, meV/atom: -17
Energy above the most stable polymorph in this dataset, kJ/mol of formula units: 20.8
Space group: No. 225

***

ZrCrCo2 | GGA-PBE | relaxed

a b c (Å): 2.7097 2.7097 25.6226
angles (deg): 90.00 90.00 120.00
With the nearest neighbours (Å) after each atom.
Fractional coordinates of all 12 atoms:
Zr 0.0000 0.0000 0.0000  6 Zr 2.71, 6 Co 2.89
Zr 0.3333 0.6667 0.6667  6 Zr 2.71, 6 Co 2.89
Zr 0.6667 0.3333 0.3333  6 Zr 2.71, 6 Co 2.89
Cr 0.0000 0.0000 0.5000  6 Co 2.42
Cr 0.3333 0.6667 0.1667  6 Co 2.42
Cr 0.6667 0.3333 0.8333  6 Co 2.42
Co 0.0000 0.0000 0.2386  3 Cr 2.42
Co 0.0000 0.0000 0.7614  3 Cr 2.42
Co 0.3333 0.6667 0.4281  3 Cr 2.42
Co 0.3333 0.6667 0.9052  3 Cr 2.42
Co 0.6667 0.3333 0.0948  3 Cr 2.42
Co 0.6667 0.3333 0.5719  3 Cr 2.42

Properties
Energy relative to the elements, meV/atom: 382
Energy above the most stable polymorph in this dataset, kJ/mol of formula units: 163.3
Space group: No. 166

***

Zr2CrCo | GGA-PBE | relaxed

a b c (Å): 3.2120 3.2120 6.4816
angles (deg): 90.00 90.00 90.00
With the nearest neighbours (Å) after each atom.
Fractional coordinates of all 4 atoms:
Zr 0.0000 0.0000 0.2465  4 Co 2.78, 4 Cr 2.80
Zr 0.0000 0.0000 0.7535  4 Co 2.78, 4 Cr 2.80
Cr 0.5000 0.5000 0.5000  8 Zr 2.80
Co 0.5000 0.5000 0.0000  8 Zr 2.78

Properties
Energy relative to the elements, meV/atom: -71
Energy above the most stable polymorph in this dataset, kJ/mol of formula units: 0.0
Space group: No. 123

***

ZrCr2Co | GGA-PBE | relaxed

a b c (Å): 2.6748 2.6748 27.1443
angles (deg): 90.00 90.00 120.00
With the nearest neighbours (Å) after each atom.
Fractional coordinates of all 12 atoms:
Zr 0.0000 0.0000 0.0000  6 Zr 2.67
Zr 0.3333 0.6667 0.6667  6 Zr 2.67
Zr 0.6667 0.3333 0.3333  6 Zr 2.67
Cr 0.0000 0.0000 0.2380  3 Co 2.48, 6 Cr 2.67
Cr 0.0000 0.0000 0.7620  3 Co 2.48, 6 Cr 2.67
Cr 0.3333 0.6667 0.4287  3 Co 2.48, 6 Cr 2.67
Cr 0.3333 0.6667 0.9047  3 Co 2.48, 6 Cr 2.67
Cr 0.6667 0.3333 0.0953  3 Co 2.48, 6 Cr 2.67
Cr 0.6667 0.3333 0.5713  3 Co 2.48, 6 Cr 2.67
Co 0.0000 0.0000 0.5000  6 Cr 2.48, 6 Co 2.67
Co 0.3333 0.6667 0.1667  6 Cr 2.48, 6 Co 2.67
Co 0.6667 0.3333 0.8333  6 Cr 2.48, 6 Co 2.67

Properties
Energy relative to the elements, meV/atom: 552
Space group: No. 166

***

ZrCr2Co | GGA-PBE | relaxed

a b c (Å): 3.4809 3.4809 19.3764
angles (deg): 90.00 90.00 90.00
With the nearest neighbours (Å) after each atom.
Fractional coordinates of all 16 atoms:
Zr 0.0000 0.0000 0.0000  4 Co 2.46
Zr 0.0000 0.5000 0.2500  4 Co 2.46
Zr 0.5000 0.0000 0.7500  4 Co 2.46
Zr 0.5000 0.5000 0.5000  4 Co 2.46
Cr 0.2146 0.7500 0.6250  2 Cr 2.29
Cr 0.2500 0.2146 0.3750  2 Cr 2.29
Cr 0.2500 0.2854 0.8750  2 Cr 2.29
Cr 0.2854 0.7500 0.1250  2 Cr 2.29
Cr 0.7146 0.2500 0.1250  2 Cr 2.29
Cr 0.7500 0.7146 0.8750  2 Cr 2.29
Cr 0.7500 0.7854 0.3750  2 Cr 2.29
Cr 0.7854 0.2500 0.6250  2 Cr 2.29
Co 0.0000 0.0000 0.5000  4 Zr 2.46, 4 Cr 2.68
Co 0.0000 0.5000 0.7500  4 Zr 2.46, 4 Cr 2.68
Co 0.5000 0.0000 0.2500  4 Zr 2.46, 4 Cr 2.68
Co 0.5000 0.5000 0.0000  4 Zr 2.46, 4 Cr 2.68

Properties
Energy relative to the elements, meV/atom: 521
Space group: No. 122

***

ZrCrCo2 | GGA-PBE | relaxed

a b c (Å): 8.7220 2.9180 4.4950
angles (deg): 90.00 102.76 90.00
With the nearest neighbours (Å) after each atom.
Fractional coordinates of all 8 atoms:
Zr 0.0000 0.0000 0.0000  7 Co 2.63-2.72, 3 Cr 2.80-2.92, 2 Zr 2.92
Zr 0.5000 0.5000 0.0000  7 Co 2.63-2.72, 3 Cr 2.80-2.92, 2 Zr 2.92
Cr 0.2286 0.0000 0.6514  5 Co 2.34-2.59
Cr 0.7286 0.5000 0.6514  5 Co 2.34-2.59
Co 0.2582 0.5000 0.2598  2 Cr 2.34, 2 Co 2.59
Co 0.4988 0.0000 0.5015  3 Cr 2.45-2.59, 3 Co 2.59-2.72, 4 Zr 2.67-2.69
Co 0.7582 0.0000 0.2598  2 Cr 2.34, 2 Co 2.59
Co 0.9988 0.5000 0.5015  3 Cr 2.45-2.59, 3 Co 2.59-2.72, 4 Zr 2.67-2.69

Properties
Energy relative to the elements, meV/atom: 133
Energy above the most stable polymorph in this dataset, kJ/mol of formula units: 67.4
Space group: No. 8

***

ZrCrCo2 | GGA-PBE | relaxed

a b c (Å): 3.0880 3.0880 5.8795
angles (deg): 90.00 90.00 90.00
With the nearest neighbours (Å) after each atom.
Fractional coordinates of all 4 atoms:
Zr 0.0000 0.0000 0.0000  8 Co 2.72, 2 Cr 2.94
Cr 0.0000 0.0000 0.5000  8 Co 2.55
Co 0.5000 0.5000 0.2762  4 Cr 2.55, 1 Co 2.63, 4 Zr 2.72
Co 0.5000 0.5000 0.7238  4 Cr 2.55, 1 Co 2.63, 4 Zr 2.72

Properties
Energy relative to the elements, meV/atom: 17
Energy above the most stable polymorph in this dataset, kJ/mol of formula units: 22.3
Space group: No. 123